Crystalline Zr2ZnPd at its relaxed geometry, computed with PBE.

a = 4.381 Å, b = 4.381 Å, c = 3.884 Å
α = 90.00°, β = 90.00°, γ = 90.00°
Space group P4/mmm (No. 123)
Unique sites:
Zr: 0.000 0.500 0.000
Zn: 0.000 0.000 0.500
Pd: 0.500 0.500 0.500

- formation energy (eV per formula unit) = -1.66

=====

Crystalline Zr6ZnPd2 at its relaxed geometry, computed with PBE.

a = 14.504 Å, b = 6.563 Å, c = 4.531 Å
α = 90.00°, β = 108.08°, γ = 90.00°
Space group C2/m (No. 12)
Unique sites:
Zr: 0.000 0.249 0.000
Zr: 0.165 0.248 0.665
Zn: 0.000 0.000 0.500
Pd: 0.166 0.500 0.166

- formation energy (eV per formula unit) = -0.09

=====

Crystalline ZrZnPd at its relaxed geometry, computed with PBE.

a = 4.523 Å, b = 5.642 Å, c = 8.010 Å
α = 90.00°, β = 90.00°, γ = 90.00°
Space group Immm (No. 71)
Unique sites:
Zr: 0.000 0.247 0.000
Zn: 0.000 0.000 0.337
Pd: 0.000 0.500 0.327

- formation energy (eV per formula unit) = -1.65

=====

Crystalline ZrZn2Pd2 at its relaxed geometry, computed with PBE.

a = 8.783 Å, b = 4.094 Å, c = 6.223 Å
α = 90.00°, β = 133.80°, γ = 90.00°
Space group C2/m (No. 12)
Unique sites:
Zr: 0.000 0.000 0.000
Zn: 0.081 0.500 0.391
Pd: 0.207 0.000 0.793

- formation energy (eV per formula unit) = -2.62
- energy relative to the lowest polymorph listed for this composition (kJ per mole of atoms) = 0.0

=====

Crystalline ZrZnPd4 at its relaxed geometry, computed with PBE.

a = 9.495 Å, b = 3.659 Å, c = 5.900 Å
α = 90.00°, β = 109.68°, γ = 90.00°
Space group C2/m (No. 12)
Unique sites:
Zr: 0.000 0.000 0.000
Zn: 0.000 0.000 0.500
Pd: 0.155 0.500 0.339
Pd: 0.164 0.500 0.823

- formation energy (eV per formula unit) = -3.60

=====

Crystalline ZrZnPd at its relaxed geometry, computed with PBE.

a = 10.026 Å, b = 3.472 Å, c = 7.255 Å
α = 90.00°, β = 122.75°, γ = 90.00°
Space group Cm (No. 8)
Unique sites:
Zr: 0.000 0.000 0.000
Zr: 0.130 0.000 0.601
Zn: 0.397 0.000 0.251
Zn: 0.417 0.000 0.634
Pd: 0.207 0.500 0.955
Pd: 0.214 0.500 0.358

- formation energy (eV per formula unit) = -1.44

=====

Crystalline Zr6ZnPd at its relaxed geometry, computed with PBE.

a = 4.533 Å, b = 4.533 Å, c = 16.413 Å
α = 90.00°, β = 90.00°, γ = 90.00°
Space group I4/mmm (No. 139)
Unique sites:
Zr: 0.000 0.000 0.250
Zr: 0.000 0.500 0.115
Zn: 0.000 0.000 0.000
Pd: 0.000 0.000 0.500

- formation energy (eV per formula unit) = -1.93
- energy relative to the lowest polymorph listed for this composition (kJ per mole of atoms) = 0.0

=====

Crystalline ZrZnPd at its relaxed geometry, computed with PBE.

a = 4.5156 Å, b = 4.5156 Å, c = 2.9177 Å
α = 90.00°, β = 90.00°, γ = 120.00°
Space group P-6m2 (No. 187)
Unique sites:
Zr: 0.0000 0.0000 0.0000
Zn: 0.3333 0.6667 0.5000
Pd: 0.6667 0.3333 0.5000

- formation energy (eV per formula unit) = -1.62

=====

Crystalline ZrZn2Pd8 at its relaxed geometry, computed with PBE.

a = 14.067 Å, b = 4.070 Å, c = 6.290 Å
α = 90.00°, β = 107.89°, γ = 90.00°
Space group C2/m (No. 12)
Unique sites:
Zr: 0.000 0.000 0.000
Zn: 0.222 0.500 0.648
Pd: 0.044 0.500 0.727
Pd: 0.099 0.000 0.464
Pd: 0.143 0.500 0.200
Pd: 0.182 0.000 0.924

- formation energy (eV per formula unit) = -5.51

=====

Crystalline Zr3ZnPd at its relaxed geometry, computed with PBE.

a = 11.695 Å, b = 9.023 Å, c = 8.642 Å
α = 90.00°, β = 118.32°, γ = 90.00°
Space group C2/c (No. 15)
Unique sites:
Zr: 0.115 0.155 0.118
Zr: 0.154 0.490 0.082
Zr: 0.175 0.158 0.556
Zn: 0.000 0.055 0.750
Zn: 0.000 0.372 0.250
Pd: 0.135 0.309 0.819

- formation energy (eV per formula unit) = -0.84
- energy relative to the lowest polymorph listed for this composition (kJ per mole of atoms) = 0.0

=====

Crystalline Zr4ZnPd at its relaxed geometry, computed with PBE.

a = 6.817 Å, b = 6.817 Å, c = 5.241 Å
α = 90.00°, β = 90.00°, γ = 90.00°
Space group I422 (No. 97)
Unique sites:
Zr: 0.155 0.345 0.250
Zn: 0.000 0.000 0.000
Pd: 0.000 0.000 0.500

- formation energy (eV per formula unit) = -1.87
- energy relative to the lowest polymorph listed for this composition (kJ per mole of atoms) = 0.0

=====

Crystalline Zr3Zn2Pd4 at its relaxed geometry, computed with PBE.

a = 8.261 Å, b = 4.708 Å, c = 8.349 Å
α = 90.00°, β = 100.08°, γ = 90.00°
Space group C2/m (No. 12)
Unique sites:
Zr: 0.000 0.000 0.000
Zr: 0.127 0.500 0.737
Zn: 0.226 0.500 0.403
Pd: 0.048 0.000 0.338
Pd: 0.184 0.500 0.077

- formation energy (eV per formula unit) = -5.15
- energy relative to the lowest polymorph listed for this composition (kJ per mole of atoms) = 0.0